Entry 1:
The following is a PBE-GGA calculation of SnSeN3 after structural relaxation, from Alexandria.

Computed properties:
Formation energy from raw total energies   10.08 eV/f.u.
SG   Pm-3m, No. 221

a b c (Å): 4.119 4.119 4.119
angles (deg): 90.00 90.00 90.00
Atoms (fractional coordinates):
Sn (0.000, 0.000, 0.000)
N (0.000, 0.500, 0.000)
Se (0.500, 0.500, 0.500)
N (0.500, 0.000, 0.000)
N (0.000, 0.000, 0.500)


Entry 2:
The following is a PBE-GGA calculation of Pr8CdGa3I4 after structural relaxation, from Alexandria.

Computed properties:
Formation energy from raw total energies   -11.32 eV/f.u.
SG   C2/m, No. 12

a b c (Å): 8.848 9.208 8.855
angles (deg): 118.79 119.97 90.00
Atoms (fractional coordinates):
Ga (0.500, 0.500, 0.500)
Pr (0.754, 0.279, 0.508)
Pr (0.246, 0.721, 0.975)
Pr (0.271, 0.279, 0.025)
I (0.000, 0.000, 0.500)
Pr (0.729, 0.721, 0.975)
Ga (0.500, 0.500, 0.000)
I (0.000, 0.000, 0.000)
Pr (0.246, 0.721, 0.492)
Cd (0.000, 0.500, 0.000)
Pr (0.737, 0.710, 0.473)
I (0.500, 0.000, 0.000)
I (0.500, 0.000, 0.500)
Pr (0.754, 0.279, 0.025)
Pr (0.263, 0.290, 0.527)
Ga (0.000, 0.500, 0.500)


Entry 3:
The following is a PBE-GGA calculation of NaLi4Ag after structural relaxation, from Alexandria.

Computed properties:
Formation enthalpy at 0 K   -0.367 eV/f.u.
SG   P2/m, No. 10

a b c (Å): 4.888 4.888 10.914
angles (deg): 101.73 101.74 93.27
Atoms (fractional coordinates):
Li (0.363, 0.863, 0.220)
Na (0.750, 0.750, 0.000)
Li (0.562, 0.562, 0.629)
Ag (0.500, 0.000, 0.500)
Ag (0.000, 0.500, 0.500)
Li (0.637, 0.137, 0.780)
Li (0.938, 0.938, 0.371)
Li (0.863, 0.363, 0.220)
Li (0.137, 0.637, 0.780)
Li (0.438, 0.438, 0.371)
Na (0.250, 0.250, 0.000)
Li (0.062, 0.062, 0.629)


| no. | DOS at the Fermi energy (states/eV/cell) |
| --- | --- |
| 1 | 6.4 |
| 2 | 12.2 |
| 3 | 3.7 |